A relaxed LiCa2CuPd2 crystal, computed with PBE.

extended XYZ file:
```
12
Lattice="5.846 0.000 0.000 0.000 5.791 0.000 -2.923 -2.896 7.205" Properties=species:S:1:pos:R:3 pbc="T T T"
Li 0.000 4.343 0.000
Li 0.000 1.448 0.000
Ca 1.544 0.000 2.409
Ca 1.379 2.896 4.796
Ca -1.379 0.000 4.796
Ca 4.302 2.896 2.409
Cu 2.923 4.343 0.000
Cu 2.923 1.448 0.000
Pd 4.421 0.000 1.655
Pd 1.425 2.896 1.655
Pd 1.498 0.000 5.550
Pd -1.498 2.896 5.550
```

Values from the calculation:
- Magnetization: 0.00 μB per formula unit
- Crystal system: orthorhombic
- Energy of formation: -263.4 kJ/mol of formula units
- V: 20.33 Å³ per atom